(1)
{
  "formula": "Ru3Rh",
  "functional": "GGA-PBEsol",
  "state": "optimized geometry",
  "lattice_angstrom": [[4.4162, -1.3294, 0.0000], [4.4162, 1.3294, 0.0000], [-0.7987, 0.0000, 4.5475]],
  "species": ["Ru", "Ru", "Ru", "Rh"],
  "frac_coords": [[0.0000, 0.0000, 0.0000], [0.2514, 0.2514, 0.7542], [0.7486, 0.7486, 0.2458], [0.5000, 0.5000, 0.5000]],
  "space_group": "C2/m (12)",
  "n_ef_per_ev_atom": 0.951,
  "final_energy_ev_per_atom": -9.5845
}

---

(2)
{
  "formula": "AlSbSe2",
  "functional": "GGA-PBEsol",
  "state": "optimized geometry",
  "lattice_angstrom": [[0.0000, 3.4523, 3.4523], [3.4523, 0.0000, 3.4523], [3.4523, 3.4523, 0.0000]],
  "species": ["Al", "Sb", "Se", "Se"],
  "frac_coords": [[0.0000, 0.0000, 0.0000], [0.5000, 0.5000, 0.5000], [0.2500, 0.2500, 0.2500], [0.7500, 0.7500, 0.7500]],
  "space_group": "Fm-3m (225)",
  "relative_energy_mev_per_atom": 491,
  "n_ef_per_ev_atom": 0.482,
  "e_form_raw_ev_per_atom": -0.0113,
  "final_energy_ev_per_atom": -4.0986
}

---

(3)
{
  "formula": "ZrCuTc3",
  "functional": "GGA-PBEsol",
  "state": "optimized geometry",
  "lattice_angstrom": [[4.4100, 0.0000, 0.0000], [0.0000, 4.4100, 0.0000], [0.0000, 0.0000, 4.4100]],
  "species": ["Zr", "Cu", "Tc", "Tc", "Tc"],
  "frac_coords": [[0.0000, 0.0000, 0.0000], [0.5000, 0.5000, 0.5000], [0.0000, 0.5000, 0.5000], [0.5000, 0.0000, 0.5000], [0.5000, 0.5000, 0.0000]],
  "space_group": "Pm-3m (221)",
  "n_ef_per_ev_atom": 1.592,
  "final_energy_ev_per_atom": -8.1913
}

---

(4)
{
  "formula": "CdNi2Sb",
  "functional": "GGA-PBEsol",
  "state": "optimized geometry",
  "lattice_angstrom": [[3.1347, 0.0000, 0.0000], [0.0000, 3.1347, 0.0000], [0.0000, 0.0000, 6.7309]],
  "species": ["Cd", "Ni", "Ni", "Sb"],
  "frac_coords": [[0.0000, 0.0000, 0.0000], [0.0000, 0.0000, 0.4023], [0.5000, 0.5000, 0.2181], [0.5000, 0.5000, 0.6041]],
  "space_group": "P4mm (99)",
  "n_ef_per_ev_atom": 0.479,
  "e_form_raw_ev_per_atom": 0.0448,
  "final_energy_ev_per_atom": -4.4726
}

---

(5)
{
  "formula": "NaReBPd2",
  "functional": "GGA-PBEsol",
  "state": "optimized geometry",
  "lattice_angstrom": [[4.0786, 0.0000, 0.0000], [0.0000, 4.0786, 0.0000], [0.0000, 0.0000, 4.4113]],
  "species": ["Na", "Re", "B", "Pd", "Pd"],
  "frac_coords": [[0.0000, 0.0000, 0.0000], [0.5000, 0.5000, 0.0000], [0.0000, 0.0000, 0.5000], [0.0000, 0.5000, 0.5000], [0.5000, 0.0000, 0.5000]],
  "space_group": "P4/mmm (123)",
  "n_ef_per_ev_atom": 0.446,
  "final_energy_ev_per_atom": -5.7643
}

---

(6)
{
  "formula": "TaCoSi",
  "functional": "GGA-PBEsol",
  "state": "optimized geometry",
  "lattice_angstrom": [[6.1579, 0.0000, 0.0000], [0.0000, 3.6217, 0.0000], [0.0000, 0.0000, 6.9597]],
  "species": ["Ta", "Ta", "Ta", "Ta", "Co", "Co", "Co", "Co", "Si", "Si", "Si", "Si"],
  "frac_coords": [[0.0200, 0.2500, 0.1798], [0.4800, 0.7500, 0.6798], [0.5200, 0.2500, 0.3202], [0.9800, 0.7500, 0.8202], [0.1413, 0.2500, 0.5637], [0.3587, 0.7500, 0.0637], [0.6413, 0.2500, 0.9363], [0.8587, 0.7500, 0.4363], [0.2247, 0.7500, 0.3824], [0.2753, 0.2500, 0.8824], [0.7247, 0.7500, 0.1176], [0.7753, 0.2500, 0.6176]],
  "space_group": "Pnma (62)",
  "n_ef_per_ev_atom": 0.280,
  "e_form_raw_ev_per_atom": -0.7922,
  "final_energy_ev_per_atom": -9.4705
}